VASP calculation (GGA-PBE) on a relaxed structure of ZrAlNi.

Cell lengths 2.9309, 9.6178, 10.5804 Å; angles 90.00, 90.00, 90.00 degrees
Last column: nearest neighbours and their distance in Å.
Space group Amm2 (No. 38)
Inequivalent atoms, fractional coordinates:
Zr1 0.0000 0.0000 0.0000  2 Ni 2.78, 2 Zr 2.93, 4 Al 2.93
Zr2 0.5000 0.1736 0.5042  4 Ni 2.76-2.78, 2 Al 2.85-3.05, 2 Zr 2.93
Al1 0.5000 0.0000 0.2633  4 Ni 2.50
Al2 0.5000 0.1393 0.7958  4 Ni 2.41-2.46, 1 Al 2.68
Ni1 0.0000 0.0000 0.6586  4 Al 2.46
Ni2 0.0000 0.1962 0.1933  4 Al 2.41-2.50

Summary:
formation energy = -0.356 eV per atom
theoretical density = 5.909 g/cm3
D(E_F) = 15.146 states/eV per cell